# 1
The following is a DFT calculation (SCAN) of FeAgOs3 at its PBEsol-relaxed geometry.

abc: 4.6427 4.6427 4.6427
angles: 90.00 90.00 90.00
Fractional coordinates of all 5 atoms:
Fe (0.0000, 0.0000, 0.0000)
Ag (0.5000, 0.5000, 0.5000)
Os (0.0000, 0.5000, 0.5000)
Os (0.5000, 0.0000, 0.5000)
Os (0.5000, 0.5000, 0.0000)

Summary:
Formation enthalpy at 0 K ... 3.4351 eV per atom
Total energy ... -49.592 eV/atom
Space group ... No. 221



# 2
The following is a DFT calculation (SCAN) of FeAg3Os at its PBEsol-relaxed geometry.

abc: 4.5597 4.5597 4.5597
angles: 90.00 90.00 90.00
Fractional coordinates of all 5 atoms:
Fe (0.0000, 0.0000, 0.0000)
Ag (0.0000, 0.0000, 0.5000)
Ag (0.0000, 0.5000, 0.0000)
Ag (0.5000, 0.0000, 0.0000)
Os (0.5000, 0.5000, 0.5000)

Summary:
Formation enthalpy at 0 K ... 1.8374 eV per atom
Total energy ... -34.985 eV/atom
Space group ... No. 221



# 3
The following is a DFT calculation (SCAN) of FeAg2P at its PBEsol-relaxed geometry.

abc: 5.4640 5.4640 2.7197
angles: 103.64 103.64 122.84
Fractional coordinates of all 4 atoms:
Fe (0.0000, 0.0000, 0.0000)
Ag (0.0000, 0.5000, 0.5000)
Ag (0.5000, 0.0000, 0.5000)
P (0.5000, 0.5000, 0.0000)

Summary:
Formation enthalpy at 0 K ... 0.3570 eV per atom
Total energy ... -22.459 eV/atom
Space group ... No. 12



# 4
The following is a DFT calculation (SCAN) of FeAgP2 at its PBEsol-relaxed geometry.

abc: 7.4546 7.4546 7.4546
angles: 22.84 22.84 22.84
Fractional coordinates of all 4 atoms:
Fe (0.0000, 0.0000, 0.0000)
Ag (0.2336, 0.2336, 0.2336)
P (0.4749, 0.4749, 0.4749)
P (0.7311, 0.7311, 0.7311)

Summary:
Formation enthalpy at 0 K ... 0.3514 eV per atom
Total energy ... -17.222 eV/atom
Space group ... No. 160



Please write out number 2 again, unchanged.
The following is a DFT calculation (SCAN) of FeAg3Os at its PBEsol-relaxed geometry.

abc: 4.5597 4.5597 4.5597
angles: 90.00 90.00 90.00
Fractional coordinates of all 5 atoms:
Fe (0.0000, 0.0000, 0.0000)
Ag (0.0000, 0.0000, 0.5000)
Ag (0.0000, 0.5000, 0.0000)
Ag (0.5000, 0.0000, 0.0000)
Os (0.5000, 0.5000, 0.5000)

Summary:
Formation enthalpy at 0 K ... 1.8374 eV per atom
Total energy ... -34.985 eV/atom
Space group ... No. 221



What did the third record say?
The following is a DFT calculation (SCAN) of FeAg2P at its PBEsol-relaxed geometry.

abc: 5.4640 5.4640 2.7197
angles: 103.64 103.64 122.84
Fractional coordinates of all 4 atoms:
Fe (0.0000, 0.0000, 0.0000)
Ag (0.0000, 0.5000, 0.5000)
Ag (0.5000, 0.0000, 0.5000)
P (0.5000, 0.5000, 0.0000)

Summary:
Formation enthalpy at 0 K ... 0.3570 eV per atom
Total energy ... -22.459 eV/atom
Space group ... No. 12



Question: Number 3 is which compound?
Answer: FeAg2P